A) A relaxed NaCa2Pb4 crystal, computed with GGA-PBE.

The space group is I4/mmm (No. 139) and the conventional cell measures 5.4869, 5.4869 and 16.2397 Å, with angles of 90.00, 90.00 and 90.00 degrees. The distinct sites, in fractional coordinates, are Na at (0.0000, 0.0000, 0.0000), Ca at (0.0000, 0.0000, 0.3770), Pb at (0.0000, 0.0000, 0.1801) and Pb at (0.0000, 0.5000, 0.0000).

The value obtained for the density of states at the Fermi level is 4.44 states/eV/f.u.

B) A relaxed NaCa2Pb4 crystal, computed with GGA-PBE.

The space group is I4/mmm (No. 139) and the conventional cell measures 5.9041, 5.9041 and 13.2795 Å, with angles of 90.00, 90.00 and 90.00 degrees. The distinct sites, in fractional coordinates, are Na at (0.0000, 0.0000, 0.0000), Ca at (0.0000, 0.0000, 0.3632), Pb at (0.0000, 0.5000, 0.0000) and Pb at (0.0000, 0.5000, 0.2500).

The value obtained for the density of states at the Fermi level is 2.82 states/eV/f.u.

B) takes first place; second place is 0.214 eV/atom up.

A) A relaxed Na2Ca2Pd crystal, computed with GGA-PBE.

The space group is P4/mbm (No. 127) and the conventional cell measures 7.5492, 7.5492 and 6.1739 Å, with angles of 90.00, 90.00 and 90.00 degrees. The distinct sites, in fractional coordinates, are Na at (0.1658, 0.3342, 0.0000), Ca at (0.1725, 0.6725, 0.5000) and Pd at (0.0000, 0.0000, 0.5000).

The value obtained for the density of states at the Fermi level is 3.36 states/eV/f.u.

B) A relaxed Na2Ca2Pd crystal, computed with GGA-PBE.

The space group is P4/mbm (No. 127) and the conventional cell measures 7.4516, 7.4516 and 5.3014 Å, with angles of 90.00, 90.00 and 90.00 degrees. The distinct sites, in fractional coordinates, are Na at (0.1389, 0.3611, 0.0000), Ca at (0.1898, 0.6898, 0.5000) and Pd at (0.0000, 0.0000, 0.0000).

The value obtained for the density of states at the Fermi level is 3.62 states/eV/f.u.

A) takes first place; second place is 0.107 eV/atom up.

A) A relaxed Na2CaPd2 crystal, computed with GGA-PBE.

The space group is I4/mmm (No. 139) and the conventional cell measures 4.1063, 4.1063 and 13.7463 Å, with angles of 90.00, 90.00 and 90.00 degrees. The distinct sites, in fractional coordinates, are Na at (0.0000, 0.5000, 0.2500), Ca at (0.0000, 0.0000, 0.0000) and Pd at (0.0000, 0.0000, 0.4041).

The value obtained for the density of states at the Fermi level is 1.43 states/eV/f.u.

B) A relaxed Na2CaPd2 crystal, computed with GGA-PBE.

The space group is P4/mbm (No. 127) and the conventional cell measures 7.2666, 7.2666 and 4.5968 Å, with angles of 90.00, 90.00 and 90.00 degrees. The distinct sites, in fractional coordinates, are Na at (0.1560, 0.3440, 0.0000), Ca at (0.0000, 0.0000, 0.5000) and Pd at (0.1301, 0.6301, 0.5000).

The value obtained for the density of states at the Fermi level is 1.43 states/eV/f.u.

A) takes first place; second place is 0.045 eV/atom up.

A) A relaxed NaCaPm crystal, computed with GGA-PBE.

The space group is I4mm (No. 107) and the conventional cell measures 3.6176, 3.6176 and 16.9586 Å, with angles of 90.00, 90.00 and 90.00 degrees. The distinct sites, in fractional coordinates, are Na at (0.0000, 0.0000, 0.0000), Ca at (0.0000, 0.0000, 0.6728) and Pm at (0.0000, 0.0000, 0.3351).

The value obtained for the density of states at the Fermi level is 3.38 states/eV/f.u.

B) A relaxed NaCaPm crystal, computed with GGA-PBE.

The space group is C2/m (No. 12) and the conventional cell measures 6.5100, 3.7541 and 18.5629 Å, with angles of 90.00, 96.75 and 90.00 degrees. The distinct sites, in fractional coordinates, are Na at (0.1946, 0.0000, 0.0835), Ca at (0.0797, 0.0000, 0.7451) and Pm at (0.1921, 0.5000, 0.5775).

The value obtained for the density of states at the Fermi level is 3.00 states/eV/f.u.

B) takes first place; second place is 0.114 eV/atom up.

A) A relaxed NaCaPm crystal, computed with GGA-PBE.

The space group is P1 (No. 1) and the conventional cell measures 3.7642, 3.7646 and 18.5419 Å, with angles of 84.19, 84.20 and 60.03 degrees. The distinct sites, in fractional coordinates, are Na at (0.0000, 0.0000, 0.0000), Na at (0.3831, 0.3938, 0.8320), Ca at (0.2765, 0.2813, 0.1707), Ca at (0.7779, 0.7859, 0.6604), Pm at (0.1698, 0.1743, 0.4920) and Pm at (0.5531, 0.5597, 0.3379).

The value obtained for the density of states at the Fermi level is 2.94 states/eV/f.u.

B) A relaxed NaCaPm crystal, computed with GGA-PBE.

The space group is P3m1 (No. 156) and the conventional cell measures 3.7091, 3.7091 and 9.3759 Å, with angles of 90.00, 90.00 and 120.00 degrees. The distinct sites, in fractional coordinates, are Na at (0.0000, 0.0000, 0.0000), Ca at (0.3333, 0.6667, 0.6545) and Pm at (0.6667, 0.3333, 0.3325).

The value obtained for the density of states at the Fermi level is 3.45 states/eV/f.u.

A) takes first place; second place is 0.088 eV/atom up.

A) A relaxed NaCa2Pr crystal, computed with GGA-PBE.

The space group is R3m (No. 160, hexagonal axes) and the conventional cell measures 3.8141, 3.8141 and 37.1875 Å, with angles of 90.00, 90.00 and 120.00 degrees. The distinct sites, in fractional coordinates, are Na at (0.0000, 0.0000, 0.0000), Ca at (0.0000, 0.0000, 0.4180), Ca at (0.0000, 0.0000, 0.5818) and Pr at (0.0000, 0.0000, 0.1665).

The value obtained for the density of states at the Fermi level is 5.04 states/eV/f.u.

B) A relaxed NaCa2Pr crystal, computed with GGA-PBE.

The space group is P4/mmm (No. 123) and the conventional cell measures 4.2255, 4.2255 and 8.6240 Å, with angles of 90.00, 90.00 and 90.00 degrees. The distinct sites, in fractional coordinates, are Na at (0.0000, 0.0000, 0.0000), Ca at (0.5000, 0.5000, 0.2488) and Pr at (0.0000, 0.0000, 0.5000).

The value obtained for the density of states at the Fermi level is 2.77 states/eV/f.u.

A) takes first place; second place is 0.020 eV/atom up.

A) A relaxed NaSrCa2Pt crystal, computed with GGA-PBE.

The space group is P4/mmm (No. 123) and the conventional cell measures 5.6749, 5.6749 and 5.9736 Å, with angles of 90.00, 90.00 and 90.00 degrees. The distinct sites, in fractional coordinates, are Na at (0.0000, 0.0000, 0.0000), Sr at (0.5000, 0.5000, 0.0000), Ca at (0.0000, 0.5000, 0.5000) and Pt at (0.5000, 0.5000, 0.5000).

The value obtained for the density of states at the Fermi level is 2.95 states/eV/f.u.

B) A relaxed NaSrCa2Pt crystal, computed with GGA-PBE.

The space group is P4/mmm (No. 123) and the conventional cell measures 5.5933, 5.5933 and 5.9035 Å, with angles of 90.00, 90.00 and 90.00 degrees. The distinct sites, in fractional coordinates, are Na at (0.0000, 0.0000, 0.0000), Sr at (0.5000, 0.5000, 0.0000), Ca at (0.0000, 0.5000, 0.5000) and Pt at (0.0000, 0.0000, 0.5000).

The value obtained for the density of states at the Fermi level is 3.85 states/eV/f.u.

A) takes first place; second place is 0.161 eV/atom up.

A) A relaxed Rb2NaCa2 crystal, computed with GGA-PBE.

The space group is P4/mbm (No. 127) and the conventional cell measures 12.0761, 12.0761 and 4.3075 Å, with angles of 90.00, 90.00 and 90.00 degrees. The distinct sites, in fractional coordinates, are Rb at (0.1846, 0.3154, 0.0000), Na at (0.0000, 0.0000, 0.5000) and Ca at (0.1093, 0.6093, 0.5000).

The value obtained for the density of states at the Fermi level is 3.03 states/eV/f.u.

B) A relaxed Rb2NaCa2 crystal, computed with GGA-PBE.

The space group is P4/mbm (No. 127) and the conventional cell measures 12.4732, 12.4732 and 4.0831 Å, with angles of 90.00, 90.00 and 90.00 degrees. The distinct sites, in fractional coordinates, are Rb at (0.1869, 0.3131, 0.0000), Na at (0.0000, 0.0000, 0.0000) and Ca at (0.1052, 0.6052, 0.5000).

The value obtained for the density of states at the Fermi level is 5.49 states/eV/f.u.

A) takes first place; second place is 0.015 eV/atom up.